# HfZr3Zn2 (PBE-GGA, relaxed)
data_HfZr3Zn2
_chemical_formula_sum 'Hf1 Zr3 Zn2'
_cell_length_a 3.180
_cell_length_b 3.180
_cell_length_c 11.998
_cell_angle_alpha 90.00
_cell_angle_beta 90.00
_cell_angle_gamma 90.00
_symmetry_space_group_name_H-M 'P 4/m m m'
_symmetry_Int_Tables_number 123
_symmetry_space_group_name_Hall '-P 4 2'
loop_
_atom_site_label
_atom_site_type_symbol
_atom_site_fract_x
_atom_site_fract_y
_atom_site_fract_z
Hf1 Hf 0.000 0.000 0.000
Zr1 Zr 0.500 0.500 0.185
Zr2 Zr 0.500 0.500 0.500
Zn1 Zn 0.000 0.000 0.345
# Crystal system: tetragonal
# Magnetization: 0.00 μB per cell
# Calculated formation energy: -101 kJ/mol of formula units
# ρ: 7.979 g/cm3

# HfZr4Zn5 (PBE-GGA, relaxed)
data_HfZr4Zn5
_chemical_formula_sum 'Hf1 Zr4 Zn5'
_cell_length_a 3.332
_cell_length_b 3.332
_cell_length_c 16.693
_cell_angle_alpha 90.00
_cell_angle_beta 90.00
_cell_angle_gamma 90.00
_symmetry_space_group_name_H-M 'P 4/m m m'
_symmetry_Int_Tables_number 123
_symmetry_space_group_name_Hall '-P 4 2'
loop_
_atom_site_label
_atom_site_type_symbol
_atom_site_fract_x
_atom_site_fract_y
_atom_site_fract_z
Hf1 Hf 0.000 0.000 0.000
Zr1 Zr 0.000 0.000 0.199
Zr2 Zr 0.000 0.000 0.399
Zn1 Zn 0.500 0.500 0.097
Zn2 Zn 0.500 0.500 0.299
Zn3 Zn 0.500 0.500 0.500
# Crystal system: tetragonal
# Magnetization: 0.00 μB per cell
# Calculated formation energy: -254 kJ/mol of formula units
# ρ: 7.798 g/cm3

# HfZrZn (PBE-GGA, relaxed)
data_HfZrZn
_chemical_formula_sum 'Hf2 Zr2 Zn2'
_cell_length_a 3.269
_cell_length_b 3.269
_cell_length_c 11.349
_cell_angle_alpha 90.00
_cell_angle_beta 90.00
_cell_angle_gamma 90.00
_symmetry_space_group_name_H-M 'I 4 m m'
_symmetry_Int_Tables_number 107
_symmetry_space_group_name_Hall 'I 4 -2'
loop_
_atom_site_label
_atom_site_type_symbol
_atom_site_fract_x
_atom_site_fract_y
_atom_site_fract_z
Hf1 Hf 0.000 0.000 0.000
Zr1 Zr 0.000 0.000 0.684
Zn1 Zn 0.000 0.000 0.345
# Crystal system: tetragonal
# Magnetization: 0.00 μB per cell
# Calculated formation energy: -51 kJ/mol of formula units
# ρ: 9.175 g/cm3

# HfZrZn17 (PBE-GGA, relaxed)
data_HfZrZn17
_chemical_formula_sum 'Hf3 Zr3 Zn51'
_cell_length_a 8.8175
_cell_length_b 8.8175
_cell_length_c 12.9120
_cell_angle_alpha 90.00
_cell_angle_beta 90.00
_cell_angle_gamma 120.00
_symmetry_space_group_name_H-M 'R 3 m'
_symmetry_Int_Tables_number 160
_symmetry_space_group_name_Hall 'R 3 -2"'
loop_
_atom_site_label
_atom_site_type_symbol
_atom_site_fract_x
_atom_site_fract_y
_atom_site_fract_z
Hf1 Hf 0.0000 0.0000 0.0000
Zr1 Zr 0.0000 0.0000 0.6684
Zn1 Zn 0.0000 0.0000 0.2315
Zn2 Zn 0.0000 0.0000 0.4341
Zn3 Zn 0.0090 0.5045 0.4831
Zn4 Zn 0.0307 0.3630 0.0004
Zn5 Zn 0.1684 0.3369 0.1681
Zn6 Zn 0.1755 0.3510 0.5166
# Crystal system: trigonal
# Magnetization: 0.00 μB per cell
# Calculated formation energy: -185 kJ/mol of formula units
# ρ: 7.917 g/cm3

# Hf3ZrZn8 (PBE-GGA, relaxed)
data_Hf3ZrZn8
_chemical_formula_sum 'Hf3 Zr1 Zn8'
_cell_length_a 5.2440
_cell_length_b 5.2440
_cell_length_c 8.3822
_cell_angle_alpha 90.00
_cell_angle_beta 90.00
_cell_angle_gamma 120.00
_symmetry_space_group_name_H-M 'P 3 m 1'
_symmetry_Int_Tables_number 156
_symmetry_space_group_name_Hall 'P 3 -2"'
loop_
_atom_site_label
_atom_site_type_symbol
_atom_site_fract_x
_atom_site_fract_y
_atom_site_fract_z
Hf1 Hf 0.0000 0.0000 0.0000
Hf2 Hf 0.0000 0.0000 0.3689
Hf3 Hf 0.3333 0.6667 0.8687
Zr1 Zr 0.3333 0.6667 0.4993
Zn1 Zn 0.0105 0.5053 0.1833
Zn2 Zn 0.3225 0.1613 0.6853
Zn3 Zn 0.6667 0.3333 0.4343
Zn4 Zn 0.6667 0.3333 0.9345
# Crystal system: trigonal
# Magnetization: 3.31 μB per cell
# Calculated formation energy: -260 kJ/mol of formula units
# ρ: 9.566 g/cm3

# Hf3Zr2Zn2 (PBE-GGA, relaxed)
data_Hf3Zr2Zn2
_chemical_formula_sum 'Hf6 Zr4 Zn4'
_cell_length_a 3.097
_cell_length_b 29.811
_cell_length_c 3.123
_cell_angle_alpha 90.00
_cell_angle_beta 90.00
_cell_angle_gamma 90.00
_symmetry_space_group_name_H-M 'C m m m'
_symmetry_Int_Tables_number 65
_symmetry_space_group_name_Hall '-C 2 2'
loop_
_atom_site_label
_atom_site_type_symbol
_atom_site_fract_x
_atom_site_fract_y
_atom_site_fract_z
Hf1 Hf 0.000 0.000 0.000
Hf2 Hf 0.000 0.425 0.500
Zr1 Zr 0.000 0.295 0.500
Zn1 Zn 0.000 0.141 0.000
# Crystal system: orthorhombic
# Magnetization: 0.00 μB per cell
# Calculated formation energy: -36 kJ/mol of formula units
# ρ: 9.776 g/cm3

# Hf2Zr3Zn2 (PBE-GGA, relaxed)
data_Hf2Zr3Zn2
_chemical_formula_sum 'Hf4 Zr6 Zn4'
_cell_length_a 3.936
_cell_length_b 23.420
_cell_length_c 3.157
_cell_angle_alpha 90.00
_cell_angle_beta 90.00
_cell_angle_gamma 90.00
_symmetry_space_group_name_H-M 'C m m m'
_symmetry_Int_Tables_number 65
_symmetry_space_group_name_Hall '-C 2 2'
loop_
_atom_site_label
_atom_site_type_symbol
_atom_site_fract_x
_atom_site_fract_y
_atom_site_fract_z
Hf1 Hf 0.000 0.205 0.000
Zr1 Zr 0.000 0.368 0.500
Zr2 Zr 0.000 0.500 0.500
Zn1 Zn 0.000 0.066 0.000
# Crystal system: orthorhombic
# Magnetization: 0.00 μB per cell
# Calculated formation energy: 8 kJ/mol of formula units
# ρ: 8.690 g/cm3

# HfZrZn4 (PBE-GGA, relaxed)
data_HfZrZn4
_chemical_formula_sum 'Hf2 Zr2 Zn8'
_cell_length_a 4.324
_cell_length_b 6.352
_cell_length_c 7.505
_cell_angle_alpha 90.00
_cell_angle_beta 90.00
_cell_angle_gamma 90.00
_symmetry_space_group_name_H-M 'I m m m'
_symmetry_Int_Tables_number 71
_symmetry_space_group_name_Hall '-I 2 2'
loop_
_atom_site_label
_atom_site_type_symbol
_atom_site_fract_x
_atom_site_fract_y
_atom_site_fract_z
Hf1 Hf 0.000 0.000 0.000
Zr1 Zr 0.000 0.500 0.000
Zn1 Zn 0.000 0.256 0.333
# Crystal system: orthorhombic
# Magnetization: 0.00 μB per cell
# Calculated formation energy: -148 kJ/mol of formula units
# ρ: 8.561 g/cm3

# HfZrZn3 (PBE-GGA, relaxed)
data_HfZrZn3
_chemical_formula_sum 'Hf1 Zr1 Zn3'
_cell_length_a 4.905
_cell_length_b 4.905
_cell_length_c 4.905
_cell_angle_alpha 90.00
_cell_angle_beta 90.00
_cell_angle_gamma 90.00
_symmetry_space_group_name_H-M 'P m -3 m'
_symmetry_Int_Tables_number 221
_symmetry_space_group_name_Hall '-P 4 2 3'
loop_
_atom_site_label
_atom_site_type_symbol
_atom_site_fract_x
_atom_site_fract_y
_atom_site_fract_z
Hf1 Hf 0.000 0.000 0.000
Zr1 Zr 0.500 0.500 0.500
Zn1 Zn 0.000 0.000 0.500
# Crystal system: cubic
# Magnetization: 0.00 μB per cell
# Calculated formation energy: 468 kJ/mol of formula units
# ρ: 6.555 g/cm3

# HfZrZn (PBE-GGA, relaxed)
data_HfZrZn
_chemical_formula_sum 'Hf1 Zr1 Zn1'
_cell_length_a 4.9253
_cell_length_b 4.9253
_cell_length_c 2.8589
_cell_angle_alpha 90.00
_cell_angle_beta 90.00
_cell_angle_gamma 120.00
_symmetry_space_group_name_H-M 'P -6 m 2'
_symmetry_Int_Tables_number 187
_symmetry_space_group_name_Hall 'P -6 2'
loop_
_atom_site_label
_atom_site_type_symbol
_atom_site_fract_x
_atom_site_fract_y
_atom_site_fract_z
Hf1 Hf 0.0000 0.0000 0.0000
Zr1 Zr 0.3333 0.6667 0.0000
Zn1 Zn 0.6667 0.3333 0.5000
# Crystal system: hexagonal
# Magnetization: 0.00 μB per cell
# Calculated formation energy: 70 kJ/mol of formula units
# ρ: 9.265 g/cm3

# HfZr3Zn8 (PBE-GGA, relaxed)
data_HfZr3Zn8
_chemical_formula_sum 'Hf1 Zr3 Zn8'
_cell_length_a 5.2659
_cell_length_b 5.2659
_cell_length_c 8.4184
_cell_angle_alpha 90.00
_cell_angle_beta 90.00
_cell_angle_gamma 120.00
_symmetry_space_group_name_H-M 'P 3 m 1'
_symmetry_Int_Tables_number 156
_symmetry_space_group_name_Hall 'P 3 -2"'
loop_
_atom_site_label
_atom_site_type_symbol
_atom_site_fract_x
_atom_site_fract_y
_atom_site_fract_z
Hf1 Hf 0.0000 0.0000 0.0000
Zr1 Zr 0.0000 0.0000 0.3675
Zr2 Zr 0.6667 0.3333 0.4998
Zr3 Zr 0.6667 0.3333 0.8680
Zn1 Zn 0.1614 0.3228 0.6846
Zn2 Zn 0.3333 0.6667 0.4334
Zn3 Zn 0.3333 0.6667 0.9336
Zn4 Zn 0.5051 0.0102 0.1828
# Crystal system: trigonal
# Magnetization: 3.74 μB per cell
# Calculated formation energy: -305 kJ/mol of formula units
# ρ: 8.012 g/cm3

# Hf6Zr5 (PBE-GGA, relaxed)
data_Hf6Zr5
_chemical_formula_sum 'Hf12 Zr10'
_cell_length_a 8.856
_cell_length_b 14.144
_cell_length_c 4.841
_cell_angle_alpha 90.00
_cell_angle_beta 123.03
_cell_angle_gamma 90.00
_symmetry_space_group_name_H-M 'C 1 2/m 1'
_symmetry_Int_Tables_number 12
_symmetry_space_group_name_Hall '-C 2y'
loop_
_atom_site_label
_atom_site_type_symbol
_atom_site_fract_x
_atom_site_fract_y
_atom_site_fract_z
Hf1 Hf 0.201 0.138 0.202
Hf2 Hf 0.206 0.000 0.707
Zr1 Zr 0.000 0.208 0.500
Zr2 Zr 0.000 0.346 0.000
Zr3 Zr 0.000 0.500 0.500
# Crystal system: monoclinic
# Magnetization: 0.00 μB per cell
# Calculated formation energy: 120 kJ/mol of formula units
# ρ: 9.976 g/cm3